Zr2IrSe: optimized geometry, GGA-PBEsol.

```
Zr2IrSe
1.0
-1.714 2.128 4.952
1.714 -2.128 4.952
1.714 2.128 -4.952
Zr Ir Se
2 1 1
Direct
0.000 0.000 0.000
0.737 0.237 0.500
0.237 0.737 0.500
0.463 0.463 0.000
```

Computed properties:
M_tot: 0.000 μB per formula unit
formation energy from raw total energies: -0.7161 eV per atom
volume: 72.3 Å³ per cell